[1]
{
  "formula": "YH6Pt4",
  "functional": "PBE-GGA",
  "state": "optimized geometry",
  "lattice": [[4.044, -0.627, 4.324], [-1.768, 3.697, 4.328], [0.035, 0.058, 8.673]],
  "species": ["H", "H", "H", "H", "H", "H", "Y", "Pt", "Pt", "Pt", "Pt"],
  "frac_coords": [[0.996, 0.645, 0.556], [0.645, 0.995, 0.558], [0.318, 0.318, 0.487], [0.063, 0.573, 0.878], [0.314, 0.312, 0.183], [0.573, 0.063, 0.875], [0.816, 0.820, 0.128], [0.105, 0.531, 0.383], [0.318, 0.318, 0.874], [0.531, 0.105, 0.384], [0.823, 0.821, 0.694]],
  "final_energy_ev_per_atom": -4.840,
  "total_magnetization_mub_per_atom": 0.00
}

[2]
{
  "formula": "ZnHPt",
  "functional": "PBE-GGA",
  "state": "optimized geometry",
  "lattice": [[-0.667, 1.094, -5.555], [-1.708, -7.920, -1.355], [-17.602, 3.323, 2.767]],
  "species": ["Pt", "Pt", "Pt", "Pt", "Pt", "Pt", "Pt", "Pt", "Pt", "Pt", "Pt", "Pt", "Pt", "Pt", "Pt", "Pt", "Pt", "Pt", "Pt", "Pt", "Pt", "Pt", "Pt", "Pt", "Zn", "Zn", "Zn", "Zn", "Zn", "Zn", "Zn", "Zn", "Zn", "Zn", "Zn", "Zn", "Zn", "Zn", "Zn", "Zn", "Zn", "Zn", "Zn", "Zn", "Zn", "Zn", "Zn", "Zn", "H", "H", "H", "H", "H", "H", "H", "H", "H", "H", "H", "H", "H", "H", "H", "H", "H", "H", "H", "H", "H", "H", "H", "H"],
  "frac_coords": [[0.198, 0.449, 0.662], [0.698, 0.949, 0.838], [0.305, 0.457, 0.326], [0.752, 0.463, 0.489], [0.305, 0.543, 0.174], [0.248, 0.463, 0.989], [0.752, 0.537, 0.011], [0.802, 0.551, 0.338], [0.805, 0.043, 0.326], [0.695, 0.543, 0.674], [0.805, 0.957, 0.174], [0.802, 0.449, 0.162], [0.698, 0.051, 0.662], [0.198, 0.551, 0.838], [0.252, 0.963, 0.011], [0.748, 0.037, 0.989], [0.748, 0.963, 0.511], [0.302, 0.949, 0.338], [0.248, 0.537, 0.511], [0.195, 0.957, 0.674], [0.195, 0.043, 0.826], [0.302, 0.051, 0.162], [0.695, 0.457, 0.826], [0.252, 0.037, 0.489], [0.520, 0.268, 0.066], [0.520, 0.732, 0.434], [0.460, 0.780, 0.584], [0.951, 0.747, 0.755], [0.540, 0.780, 0.084], [0.460, 0.220, 0.916], [0.049, 0.253, 0.245], [0.020, 0.768, 0.434], [0.451, 0.247, 0.745], [0.951, 0.253, 0.745], [0.980, 0.768, 0.934], [0.020, 0.232, 0.066], [0.980, 0.232, 0.566], [0.451, 0.753, 0.755], [0.049, 0.747, 0.255], [0.480, 0.268, 0.566], [0.549, 0.247, 0.245], [0.960, 0.720, 0.584], [0.540, 0.220, 0.416], [0.480, 0.732, 0.934], [0.960, 0.280, 0.916], [0.040, 0.720, 0.084], [0.549, 0.753, 0.255], [0.040, 0.280, 0.416], [0.919, 0.389, 0.653], [0.089, 0.894, 0.168], [0.081, 0.611, 0.347], [0.911, 0.894, 0.668], [0.687, 0.511, 0.579], [0.581, 0.111, 0.153], [0.687, 0.489, 0.921], [0.089, 0.106, 0.332], [0.081, 0.389, 0.153], [0.589, 0.606, 0.168], [0.313, 0.511, 0.079], [0.419, 0.111, 0.653], [0.187, 0.989, 0.579], [0.813, 0.989, 0.079], [0.411, 0.394, 0.832], [0.411, 0.606, 0.668], [0.187, 0.011, 0.921], [0.419, 0.889, 0.847], [0.919, 0.611, 0.847], [0.813, 0.011, 0.421], [0.589, 0.394, 0.332], [0.313, 0.489, 0.421], [0.581, 0.889, 0.347], [0.911, 0.106, 0.832]],
  "final_energy_ev_per_atom": -3.668,
  "total_magnetization_mub_per_atom": 0.00
}

[3]
{
  "formula": "ZnHPt2",
  "functional": "PBE-GGA",
  "state": "optimized geometry",
  "lattice": [[2.910, 0.000, 0.000], [1.455, 2.520, 0.000], [1.455, 0.840, 6.727]],
  "species": ["Pt", "Pt", "H", "Zn"],
  "frac_coords": [[0.261, 0.261, 0.218], [0.058, 0.058, 0.827], [0.687, 0.687, 0.940], [0.495, 0.495, 0.515]],
  "final_energy_ev_per_atom": -4.349,
  "total_magnetization_mub_per_atom": 0.00
}

[4]
{
  "formula": "ZnHPt",
  "functional": "PBE-GGA",
  "state": "optimized geometry",
  "lattice": [[3.524, 0.000, 0.000], [0.000, 3.524, 0.000], [-1.762, -1.762, 3.333]],
  "species": ["H", "Pt", "Zn"],
  "frac_coords": [[0.982, 0.982, 0.963], [0.219, 0.219, 0.438], [0.649, 0.649, 0.298]],
  "final_energy_ev_per_atom": -3.442,
  "total_magnetization_mub_per_atom": 0.00
}

[5]
{
  "formula": "ZnHPt2",
  "functional": "PBE-GGA",
  "state": "optimized geometry",
  "lattice": [[-1.772, 2.158, -0.149], [-1.642, -1.468, -1.722], [-3.168, -2.258, 4.945]],
  "species": ["H", "Pt", "Pt", "Zn"],
  "frac_coords": [[0.500, 0.500, 0.000], [0.000, 0.000, 0.785], [0.000, 0.000, 0.215], [0.500, 0.500, 0.500]],
  "final_energy_ev_per_atom": -4.154,
  "total_magnetization_mub_per_atom": 0.00
}

[6]
{
  "formula": "Zn2HPt5",
  "functional": "PBE-GGA",
  "state": "optimized geometry",
  "lattice": [[4.858, 0.000, -2.668], [-1.465, 4.632, -2.668], [-0.160, -0.219, 5.465]],
  "species": ["Pt", "Pt", "Pt", "Pt", "Pt", "H", "Zn", "Zn"],
  "frac_coords": [[0.747, 0.249, 0.996], [0.249, 0.249, 0.996], [0.744, 0.744, 0.488], [0.747, 0.747, 0.996], [0.249, 0.747, 0.996], [0.043, 0.043, 0.085], [0.749, 0.249, 0.497], [0.249, 0.749, 0.497]],
  "final_energy_ev_per_atom": -4.761,
  "total_magnetization_mub_per_atom": 0.00
}

[7]
{
  "formula": "ZnHPt2",
  "functional": "PBE-GGA",
  "state": "optimized geometry",
  "lattice": [[-3.337, 0.523, -5.060], [2.249, -5.277, -2.028], [-2.563, -3.697, -2.349]],
  "species": ["Pt", "Pt", "Pt", "Pt", "Zn", "Zn", "H", "H"],
  "frac_coords": [[0.375, 0.471, 0.750], [0.875, 0.779, 0.750], [0.221, 0.625, 0.250], [0.529, 0.125, 0.250], [0.000, 0.000, 0.000], [0.750, 0.250, 0.500], [0.500, 0.500, 0.000], [0.250, 0.750, 0.500]],
  "final_energy_ev_per_atom": -4.342,
  "total_magnetization_mub_per_atom": 0.00
}

[8]
{
  "formula": "ZnHPt",
  "functional": "PBE-GGA",
  "state": "optimized geometry",
  "lattice": [[-3.009, -0.347, -2.226], [-0.090, -3.215, 0.622], [-1.654, 2.085, 1.910]],
  "species": ["Zn", "H", "Pt"],
  "frac_coords": [[0.667, 0.333, 0.667], [0.167, 0.667, 0.333], [0.167, 0.000, 0.000]],
  "final_energy_ev_per_atom": -3.693,
  "total_magnetization_mub_per_atom": 0.00
}

[9]
{
  "formula": "Zn3H12Pt5",
  "functional": "PBE-GGA",
  "state": "optimized geometry",
  "lattice": [[-8.234, -4.170, -3.551], [6.212, 1.900, -7.456], [4.325, -6.173, 6.401]],
  "species": ["H", "H", "H", "H", "H", "H", "H", "H", "H", "H", "H", "H", "H", "H", "H", "H", "H", "H", "H", "H", "H", "H", "H", "H", "H", "H", "H", "H", "H", "H", "H", "H", "H", "H", "H", "H", "H", "H", "H", "H", "H", "H", "H", "H", "H", "H", "H", "H", "Pt", "Pt", "Pt", "Pt", "Pt", "Pt", "Pt", "Pt", "Pt", "Pt", "Pt", "Pt", "Pt", "Pt", "Pt", "Pt", "Pt", "Pt", "Pt", "Pt", "Zn", "Zn", "Zn", "Zn", "Zn", "Zn", "Zn", "Zn", "Zn", "Zn", "Zn", "Zn"],
  "frac_coords": [[0.802, 0.477, 0.389], [0.088, 0.912, 0.111], [0.198, 0.675, 0.088], [0.302, 0.412, 0.825], [0.977, 0.588, 0.175], [0.912, 0.088, 0.611], [0.588, 0.977, 0.675], [0.175, 0.088, 0.698], [0.477, 0.675, 0.088], [0.023, 0.412, 0.825], [0.389, 0.977, 0.802], [0.023, 0.611, 0.698], [0.698, 0.111, 0.023], [0.611, 0.588, 0.912], [0.889, 0.588, 0.912], [0.698, 0.588, 0.175], [0.412, 0.389, 0.588], [0.088, 0.175, 0.198], [0.889, 0.302, 0.477], [0.912, 0.825, 0.523], [0.523, 0.325, 0.912], [0.802, 0.325, 0.912], [0.675, 0.477, 0.588], [0.825, 0.912, 0.302], [0.412, 0.023, 0.325], [0.389, 0.412, 0.088], [0.523, 0.198, 0.111], [0.912, 0.825, 0.802], [0.588, 0.889, 0.412], [0.325, 0.523, 0.412], [0.111, 0.412, 0.088], [0.111, 0.698, 0.523], [0.912, 0.088, 0.889], [0.175, 0.088, 0.977], [0.302, 0.889, 0.977], [0.198, 0.523, 0.611], [0.088, 0.912, 0.389], [0.977, 0.389, 0.302], [0.588, 0.611, 0.412], [0.088, 0.175, 0.477], [0.412, 0.111, 0.588], [0.477, 0.802, 0.889], [0.588, 0.698, 0.675], [0.412, 0.302, 0.325], [0.675, 0.198, 0.588], [0.611, 0.023, 0.198], [0.825, 0.912, 0.023], [0.325, 0.802, 0.412], [0.000, 0.000, 0.000], [0.375, 0.125, 0.750], [0.125, 0.375, 0.250], [0.875, 0.625, 0.750], [0.000, 0.500, 0.000], [0.000, 0.500, 0.500], [0.750, 0.625, 0.375], [0.625, 0.750, 0.875], [0.250, 0.875, 0.125], [0.125, 0.750, 0.375], [0.500, 0.500, 0.500], [0.500, 0.000, 0.500], [0.875, 0.250, 0.625], [0.250, 0.375, 0.625], [0.375, 0.250, 0.125], [0.750, 0.125, 0.875], [0.625, 0.875, 0.250], [0.000, 0.000, 0.500], [0.500, 0.500, 0.000], [0.500, 0.000, 0.000], [0.125, 0.250, 0.875], [0.375, 0.625, 0.250], [0.750, 0.875, 0.625], [0.375, 0.750, 0.625], [0.750, 0.375, 0.125], [0.875, 0.125, 0.250], [0.625, 0.375, 0.750], [0.250, 0.125, 0.375], [0.125, 0.875, 0.750], [0.250, 0.625, 0.875], [0.875, 0.750, 0.125], [0.625, 0.250, 0.375]],
  "final_energy_ev_per_atom": -3.541,
  "total_magnetization_mub_per_atom": 0.00
}

[10]
{
  "formula": "ZnH3Pt",
  "functional": "PBE-GGA",
  "state": "optimized geometry",
  "lattice": [[3.518, 0.000, 0.000], [0.000, 3.518, 0.000], [0.000, 0.000, 3.518]],
  "species": ["Pt", "H", "H", "H", "Zn"],
  "frac_coords": [[0.500, 0.500, 0.500], [0.500, 0.000, 0.000], [0.000, 0.000, 0.500], [0.000, 0.500, 0.000], [0.000, 0.000, 0.000]],
  "final_energy_ev_per_atom": -2.641,
  "total_magnetization_mub_per_atom": 0.17
}

[11]
{
  "formula": "ZnH2Pt",
  "functional": "PBE-GGA",
  "state": "optimized geometry",
  "lattice": [[2.835, 0.000, 0.000], [1.418, 2.455, 0.000], [1.418, 0.818, 6.638]],
  "species": ["H", "H", "Zn", "Pt"],
  "frac_coords": [[0.879, 0.879, 0.363], [0.121, 0.121, 0.637], [0.000, 0.000, 0.000], [0.500, 0.500, 0.500]],
  "final_energy_ev_per_atom": -3.354,
  "total_magnetization_mub_per_atom": 0.00
}

[12]
{
  "formula": "ZnH3Pt",
  "functional": "PBE-GGA",
  "state": "optimized geometry",
  "lattice": [[-1.645, -3.181, 0.234], [2.718, -1.536, -1.770], [1.669, -0.634, 3.113]],
  "species": ["H", "H", "H", "Pt", "Zn"],
  "frac_coords": [[0.000, 0.500, 0.000], [0.000, 0.000, 0.500], [0.500, 0.000, 0.000], [0.000, 0.000, 0.000], [0.500, 0.500, 0.500]],
  "final_energy_ev_per_atom": -3.293,
  "total_magnetization_mub_per_atom": 0.00
}

[13]
{
  "formula": "Zn2HPt2",
  "functional": "PBE-GGA",
  "state": "optimized geometry",
  "lattice": [[5.632, 0.000, 0.000], [0.000, 5.632, 0.000], [0.000, 0.000, 4.221]],
  "species": ["Pt", "Pt", "Pt", "Pt", "Zn", "Zn", "Zn", "Zn", "H", "H"],
  "frac_coords": [[0.827, 0.673, 0.000], [0.173, 0.327, 0.000], [0.327, 0.827, 0.000], [0.673, 0.173, 0.000], [0.346, 0.154, 0.500], [0.654, 0.846, 0.500], [0.154, 0.654, 0.500], [0.846, 0.346, 0.500], [0.500, 0.500, 0.000], [0.000, 0.000, 0.000]],
  "final_energy_ev_per_atom": -3.797,
  "total_magnetization_mub_per_atom": 0.00
}

[14]
{
  "formula": "ZnH2Pt",
  "functional": "PBE-GGA",
  "state": "optimized geometry",
  "lattice": [[-0.051, -4.059, 1.357], [4.278, -0.090, -0.109], [2.247, -0.701, 4.738]],
  "species": ["Zn", "Zn", "Pt", "Pt", "H", "H", "H", "H"],
  "frac_coords": [[0.250, 0.750, 0.500], [0.500, 0.500, 0.000], [0.000, 0.000, 0.000], [0.750, 0.250, 0.500], [0.375, 0.345, 0.750], [0.655, 0.125, 0.250], [0.095, 0.625, 0.250], [0.875, 0.905, 0.750]],
  "final_energy_ev_per_atom": -3.399,
  "total_magnetization_mub_per_atom": 0.00
}

[15]
{
  "formula": "Zn2H2Pt5",
  "functional": "PBE-GGA",
  "state": "optimized geometry",
  "lattice": [[-5.008, 1.155, -0.932], [-2.379, -3.429, 5.433], [1.426, 4.723, -0.932]],
  "species": ["Pt", "Pt", "Pt", "Pt", "Pt", "H", "H", "Zn", "Zn"],
  "frac_coords": [[0.856, 0.779, 0.283], [0.632, 0.308, 0.989], [0.000, 0.000, 0.000], [0.144, 0.221, 0.717], [0.368, 0.692, 0.011], [0.046, 0.670, 0.858], [0.954, 0.330, 0.142], [0.544, 0.194, 0.372], [0.456, 0.806, 0.628]],
  "final_energy_ev_per_atom": -4.503,
  "total_magnetization_mub_per_atom": 0.00
}

[16]
{
  "formula": "ZnH2Pt",
  "functional": "PBE-GGA",
  "state": "optimized geometry",
  "lattice": [[1.806, -3.271, -0.403], [-1.833, -3.011, -1.305], [0.758, -1.318, -3.438]],
  "species": ["Zn", "H", "H", "Pt"],
  "frac_coords": [[0.000, 0.000, 0.000], [0.750, 0.750, 0.750], [0.250, 0.250, 0.250], [0.500, 0.500, 0.500]],
  "final_energy_ev_per_atom": -3.015,
  "total_magnetization_mub_per_atom": 0.00
}

[17]
{
  "formula": "ZnHPt2",
  "functional": "PBE-GGA",
  "state": "optimized geometry",
  "lattice": [[0.000, 2.942, 2.942], [2.942, 0.000, 2.942], [2.942, 2.942, 0.000]],
  "species": ["H", "Pt", "Pt", "Zn"],
  "frac_coords": [[0.000, 0.000, 0.000], [0.750, 0.750, 0.750], [0.250, 0.250, 0.250], [0.500, 0.500, 0.500]],
  "final_energy_ev_per_atom": -4.020,
  "total_magnetization_mub_per_atom": 0.00
}

[18]
{
  "formula": "ZnHPt2",
  "functional": "PBE-GGA",
  "state": "optimized geometry",
  "lattice": [[-3.800, 0.155, -3.828], [3.896, -3.727, -0.215], [-3.612, -3.974, 3.425]],
  "species": ["H", "H", "H", "Pt", "Pt", "Pt", "Pt", "Pt", "Pt", "Zn", "Zn", "Zn"],
  "frac_coords": [[0.162, 0.162, 0.500], [0.000, 0.838, 0.167], [0.838, 0.000, 0.833], [0.447, 0.189, 0.643], [0.553, 0.742, 0.690], [0.811, 0.258, 0.976], [0.189, 0.447, 0.357], [0.258, 0.811, 0.024], [0.742, 0.553, 0.310], [0.000, 0.655, 0.667], [0.655, 0.000, 0.333], [0.345, 0.345, 0.000]],
  "final_energy_ev_per_atom": -4.387,
  "total_magnetization_mub_per_atom": 0.00
}

[19]
{
  "formula": "ZnH3Pt3",
  "functional": "PBE-GGA",
  "state": "optimized geometry",
  "lattice": [[2.882, 0.000, 0.000], [0.000, 6.752, -3.898], [0.000, 0.000, 7.797]],
  "species": ["Pt", "Pt", "Pt", "Pt", "Pt", "Pt", "H", "H", "H", "H", "H", "H", "Zn", "Zn"],
  "frac_coords": [[0.250, 0.043, 0.675], [0.750, 0.957, 0.325], [0.250, 0.632, 0.957], [0.750, 0.675, 0.632], [0.250, 0.325, 0.368], [0.750, 0.368, 0.043], [0.750, 0.939, 0.745], [0.750, 0.806, 0.061], [0.250, 0.745, 0.806], [0.750, 0.255, 0.194], [0.250, 0.061, 0.255], [0.250, 0.194, 0.939], [0.750, 0.333, 0.667], [0.250, 0.667, 0.333]],
  "final_energy_ev_per_atom": -4.334,
  "total_magnetization_mub_per_atom": 0.00
}